#w
VASP calculation (PBE) on a geometry-optimized HfPt3O structure. Values from VASP.

```
&SYSTEM
  ibrav = 0, nat = 5, ntyp = 3
/
ATOMIC_SPECIES
Hf 178.49 Hf.upf
Pt 195.08 Pt.upf
O 16.00 O.upf
CELL_PARAMETERS angstrom
-1.660 3.819 1.119
-3.590 -0.914 -2.207
-1.718 -1.781 3.531
ATOMIC_POSITIONS crystal
Hf 0.500 0.500 0.500
Pt 0.500 0.000 0.000
Pt 0.000 0.500 0.000
Pt 0.000 0.000 0.500
O 0.000 0.000 0.000
```

Calculated values
crystal system: cubic

#x
VASP calculation (PBE) on a geometry-optimized HfPt3O structure. Values from VASP.

```
&SYSTEM
  ibrav = 0, nat = 5, ntyp = 3
/
ATOMIC_SPECIES
Hf 178.49 Hf.upf
Pt 195.08 Pt.upf
O 16.00 O.upf
CELL_PARAMETERS angstrom
4.926 0.000 0.000
0.000 4.926 0.000
0.000 0.000 4.926
ATOMIC_POSITIONS crystal
Hf 0.000 0.000 0.000
Pt 0.000 0.000 0.500
Pt 0.500 0.000 0.000
Pt 0.000 0.500 0.000
O 0.500 0.500 0.500
```

Calculated values
crystal system: cubic

Short version: #w is the most stable of them.

#w
VASP calculation (PBE) on a geometry-optimized Rb2HfO structure. Values from VASP.

```
&SYSTEM
  ibrav = 0, nat = 8, ntyp = 3
/
ATOMIC_SPECIES
Hf 178.49 Hf.upf
Rb 85.47 Rb.upf
O 16.00 O.upf
CELL_PARAMETERS angstrom
-8.015 -9.858 4.072
-4.037 -1.911 -12.572
-4.536 -7.210 -4.527
ATOMIC_POSITIONS crystal
Hf 0.000 0.000 0.000
Hf 0.750 0.250 0.500
Rb 0.875 0.704 0.750
Rb 0.296 0.625 0.250
Rb 0.375 0.546 0.750
Rb 0.454 0.125 0.250
O 0.250 0.750 0.500
O 0.500 0.500 0.000
```

Calculated values
crystal system: tetragonal

#x
VASP calculation (PBE) on a geometry-optimized Rb2HfO structure. Values from VASP.

```
&SYSTEM
  ibrav = 0, nat = 4, ntyp = 3
/
ATOMIC_SPECIES
Rb 85.47 Rb.upf
O 16.00 O.upf
Hf 178.49 Hf.upf
CELL_PARAMETERS angstrom
0.846 1.143 5.660
-3.983 -1.645 3.936
1.185 -4.347 3.709
ATOMIC_POSITIONS crystal
Rb 0.750 0.750 0.750
Rb 0.250 0.250 0.250
O 0.000 0.000 0.000
Hf 0.500 0.500 0.500
```

Calculated values
crystal system: cubic

Short version: #w is the most stable of them.

#w
VASP calculation (PBE) on a geometry-optimized RbHf3O structure. Values from VASP.

```
&SYSTEM
  ibrav = 0, nat = 5, ntyp = 3
/
ATOMIC_SPECIES
Rb 85.47 Rb.upf
Hf 178.49 Hf.upf
O 16.00 O.upf
CELL_PARAMETERS angstrom
-2.221 1.945 -4.083
-4.412 0.069 2.432
0.995 4.648 1.673
ATOMIC_POSITIONS crystal
Rb 0.000 0.000 0.000
Hf 0.500 0.000 0.000
Hf 0.000 0.000 0.500
Hf 0.000 0.500 0.000
O 0.500 0.500 0.500
```

Calculated values
crystal system: cubic

#x
VASP calculation (PBE) on a geometry-optimized RbHf3O structure. Values from VASP.

```
&SYSTEM
  ibrav = 0, nat = 5, ntyp = 3
/
ATOMIC_SPECIES
Hf 178.49 Hf.upf
Rb 85.47 Rb.upf
O 16.00 O.upf
CELL_PARAMETERS angstrom
-1.415 -2.530 -3.680
4.331 0.166 -1.779
1.092 -3.939 2.289
ATOMIC_POSITIONS crystal
Hf 0.000 0.000 0.500
Hf 0.000 0.500 0.000
Hf 0.500 0.000 0.000
Rb 0.500 0.500 0.500
O 0.000 0.000 0.000
```

Calculated values
crystal system: cubic

Short version: #x is the most stable of them.

#w
VASP calculation (PBE) on a geometry-optimized HfRe3O structure. Values from VASP.

```
&SYSTEM
  ibrav = 0, nat = 5, ntyp = 3
/
ATOMIC_SPECIES
Re 186.21 Re.upf
O 16.00 O.upf
Hf 178.49 Hf.upf
CELL_PARAMETERS angstrom
4.167 0.000 0.000
0.000 4.167 0.000
0.000 0.000 4.167
ATOMIC_POSITIONS crystal
Re 0.000 0.000 0.500
Re 0.000 0.500 0.000
Re 0.500 0.000 0.000
O 0.000 0.000 0.000
Hf 0.500 0.500 0.500
```

Calculated values
crystal system: cubic

#x
VASP calculation (PBE) on a geometry-optimized HfRe3O structure. Values from VASP.

```
&SYSTEM
  ibrav = 0, nat = 5, ntyp = 3
/
ATOMIC_SPECIES
Hf 178.49 Hf.upf
Re 186.21 Re.upf
O 16.00 O.upf
CELL_PARAMETERS angstrom
-4.145 1.713 -1.778
-2.457 -3.195 2.650
-0.236 3.182 3.618
ATOMIC_POSITIONS crystal
Hf 0.000 0.000 0.000
Re 0.000 0.000 0.500
Re 0.000 0.500 0.000
Re 0.500 0.000 0.000
O 0.500 0.500 0.500
```

Calculated values
crystal system: cubic

Short version: #w is the most stable of them.